{"formula": "LiCeC", "functional": "PBE", "state": "optimized geometry", "lattice_angstrom": [[4.0175, 0.0000, 0.0000], [0.0000, 3.6899, 0.0000], [0.0000, -1.8450, 3.1956]], "species": ["C", "Ce", "Li"], "frac_coords": [[0.3868, 0.3333, 0.6667], [0.0704, 0.0000, 0.0000], [0.5428, 0.6667, 0.3333]], "e_tot_ev_per_atom": -5.516, "e_above_lowest_polymorph_kj_per_mol_fu": 42, "spacegroup": "P3m1, No. 156", "dos_ef_per_ev_cell": 2.40, "formation_enthalpy_0k_mev_per_atom": 175}



{"formula": "LiCeC", "functional": "PBE", "state": "optimized geometry", "lattice_angstrom": [[-2.5694, 1.7325, 2.6962], [0.0056, -1.2243, 3.9210], [1.4622, 2.4852, 2.9255]], "species": ["C", "Ce", "Li"], "frac_coords": [[0.2500, 0.2500, 0.2500], [0.5000, 0.5000, 0.5000], [0.0000, 0.0000, 0.0000]], "e_tot_ev_per_atom": -5.662, "e_above_lowest_polymorph_kj_per_mol_fu": 0, "spacegroup": "F-43m, No. 216", "dos_ef_per_ev_cell": 1.02, "formation_enthalpy_0k_mev_per_atom": 28}



{"formula": "LiCeC", "functional": "PBE", "state": "optimized geometry", "lattice_angstrom": [[-0.0634, -0.4682, 3.8315], [6.3779, -2.0032, -0.1392], [2.2773, 7.1868, 0.9158]], "species": ["Ce", "Ce", "Ce", "Ce", "C", "C", "C", "C", "Li", "Li", "Li", "Li"], "frac_coords": [[0.0000, 0.9168, 0.2050], [0.5000, 0.0832, 0.7050], [0.5000, 0.4167, 0.2050], [0.0000, 0.5833, 0.7050], [0.0000, 0.9165, 0.8576], [0.5000, 0.0835, 0.3576], [0.5000, 0.4166, 0.8575], [0.0000, 0.5834, 0.3575], [0.0000, 0.2502, 0.4376], [0.5000, 0.7501, 0.4375], [0.5000, 0.7498, 0.9376], [0.0000, 0.2499, 0.9375]], "e_tot_ev_per_atom": -5.601, "e_above_lowest_polymorph_kj_per_mol_fu": 18, "spacegroup": "P6_3mc, No. 186", "dos_ef_per_ev_cell": 9.03, "formation_enthalpy_0k_mev_per_atom": 90}



{"formula": "LiCeC", "functional": "PBE", "state": "optimized geometry", "lattice_angstrom": [[3.6160, 0.0000, 0.0000], [0.0000, 3.6160, 0.0000], [-1.8080, -1.8080, 3.4777]], "species": ["C", "Ce", "Li"], "frac_coords": [[0.6359, 0.6359, 0.2717], [0.2779, 0.2779, 0.5557], [0.9363, 0.9363, 0.8725]], "e_tot_ev_per_atom": -5.133, "e_above_lowest_polymorph_kj_per_mol_fu": 153, "spacegroup": "I4mm, No. 107", "dos_ef_per_ev_cell": 3.86, "formation_enthalpy_0k_mev_per_atom": 558}



{"formula": "Li3CeC4O12", "functional": "PBE", "state": "optimized geometry", "lattice_angstrom": [[-0.2731, 4.0363, -4.6270], [-4.5460, -3.8924, -1.3992], [-2.4141, 3.1982, 4.6603]], "species": ["Li", "Li", "Li", "Ce", "C", "C", "C", "C", "O", "O", "O", "O", "O", "O", "O", "O", "O", "O", "O", "O"], "frac_coords": [[0.5522, 0.4478, 0.0000], [0.4478, 0.0000, 0.5522], [0.0000, 0.5522, 0.4478], [0.0000, 0.0000, 0.0000], [0.9560, 0.0440, 0.5000], [0.0440, 0.5000, 0.9560], [0.5000, 0.9560, 0.0440], [0.5000, 0.5000, 0.5000], [0.5000, 0.3665, 0.6335], [0.9112, 0.5000, 0.0888], [0.0888, 0.9112, 0.5000], [0.5000, 0.0888, 0.9112], [0.3646, 0.9582, 0.1821], [0.1821, 0.3646, 0.9582], [0.9582, 0.1821, 0.3646], [0.6354, 0.8179, 0.0418], [0.0418, 0.6354, 0.8179], [0.8179, 0.0418, 0.6354], [0.6335, 0.5000, 0.3665], [0.3665, 0.6335, 0.5000]], "e_tot_ev_per_atom": -7.192, "raw_formation_energy_ev_per_atom": -1.79, "spacegroup": "R32, No. 155"}



{"formula": "LiCePCO7", "functional": "PBE", "state": "optimized geometry", "lattice_angstrom": [[7.0274, 0.0000, 0.0000], [0.0000, 4.4240, 0.4410], [0.0000, 1.2856, 9.5098]], "species": ["Li", "Li", "Ce", "Ce", "P", "P", "C", "C", "O", "O", "O", "O", "O", "O", "O", "O", "O", "O", "O", "O", "O", "O"], "frac_coords": [[0.3886, 0.6978, 0.7770], [0.8886, 0.3022, 0.2230], [0.7766, 0.1682, 0.6867], [0.2766, 0.8318, 0.3133], [0.2764, 0.2937, 0.5907], [0.7764, 0.7063, 0.4093], [0.7354, 0.3893, 0.9434], [0.2354, 0.6107, 0.0566], [0.2265, 0.5515, 0.9367], [0.8129, 0.1328, 0.9207], [0.6693, 0.5727, 0.8231], [0.0912, 0.1594, 0.6666], [0.4489, 0.1363, 0.6797], [0.7844, 0.7388, 0.5677], [0.2875, 0.6471, 0.5744], [0.7875, 0.3529, 0.4256], [0.2844, 0.2612, 0.4323], [0.9489, 0.8637, 0.3203], [0.5912, 0.8406, 0.3334], [0.1693, 0.4273, 0.1769], [0.3129, 0.8672, 0.0793], [0.7265, 0.4485, 0.0633]], "e_tot_ev_per_atom": -7.522, "raw_formation_energy_ev_per_atom": -2.32, "spacegroup": "P2_1, No. 4"}